# 1
VASP calculation (PBE) on crystalline Sr3Cu2Pd3 at its relaxed geometry.

The calculation puts the volume at 23.5 A^3/atom. The calculation puts the total magnetic moment at 0.00 μB/f.u. The calculation puts the energy relative to the elements at -0.4040 eV/atom.

a b c (Å): 4.5123 11.0059 15.1220
angles (deg): 90.00 90.00 90.00
With the nearest neighbours (Å) after each atom.
Space group Cmcm (No. 63)
Asymmetric unit:
Sr 0.0000 0.0910 0.1036 x8  7 Pd 3.14-3.37, 4 Cu 3.15-3.31
Sr 0.0000 0.3743 0.2500 x4  5 Pd 3.14-3.31, 4 Cu 3.37
Cu 0.0000 0.2096 0.5958 x8  4 Pd 2.61-2.78
Pd 0.0000 0.3247 0.7500 x4  2 Cu 2.65
Pd 0.0000 0.3807 0.0396 x8  3 Cu 2.61-2.78, 1 Pd 2.89



# 2
VASP calculation (PBE) on crystalline Sr2CuPd2 at its relaxed geometry.

The calculation puts the volume at 23.8 A^3/atom. The calculation puts the total magnetic moment at 0.00 μB/f.u. The calculation puts the energy relative to the elements at -0.4835 eV/atom.

a b c (Å): 10.0800 5.8721 8.2681
angles (deg): 90.00 103.16 90.00
With the nearest neighbours (Å) after each atom.
Space group C2/c (No. 15)
Asymmetric unit:
Sr 0.1510 0.1338 0.1521 x8  6 Pd 3.12-3.28, 2 Cu 3.43-3.45
Cu 0.0000 0.3734 0.7500 x4  4 Pd 2.64-2.65
Pd 0.1261 0.3710 0.5033 x8  2 Cu 2.64-2.65, 2 Pd 2.89-2.95



# 3
VASP calculation (PBE) on crystalline Sr2CuPd2 at its relaxed geometry.

The calculation puts the volume at 26.2 A^3/atom. The calculation puts the total magnetic moment at 0.00 μB/f.u. The calculation puts the energy relative to the elements at -0.1770 eV/atom.

a b c (Å): 3.8732 3.8732 17.4425
angles (deg): 90.00 90.00 90.00
With the nearest neighbours (Å) after each atom.
Space group I4/mmm (No. 139)
Asymmetric unit:
Sr 0.0000 0.0000 0.1126 x4  4 Pd 3.08, 4 Cu 3.37
Cu 0.0000 0.0000 0.5000 x2  8 Sr 3.37
Pd 0.0000 0.5000 0.2500 x4  4 Pd 2.74



# 4
VASP calculation (PBE) on crystalline Sr2Cu2Pd at its relaxed geometry.

The calculation puts the volume at 23.4 A^3/atom. The calculation puts the total magnetic moment at 0.00 μB/f.u. The calculation puts the energy relative to the elements at -0.2359 eV/atom.

a b c (Å): 9.4955 5.8344 8.6714
angles (deg): 90.00 102.54 90.00
With the nearest neighbours (Å) after each atom.
Space group C2/c (No. 15)
Asymmetric unit:
Sr 0.1533 0.1282 0.1542 x8  6 Cu 3.07-3.42, 2 Pd 3.22-3.41
Cu 0.1267 0.3738 0.5047 x8  2 Pd 2.66-2.70, 2 Cu 2.77-2.81
Pd 0.0000 0.3774 0.7500 x4  4 Cu 2.66-2.70



# 5
VASP calculation (PBE) on crystalline Sr2Cu2Pd at its relaxed geometry.

The calculation puts the volume at 23.8 A^3/atom. The calculation puts the total magnetic moment at 0.00 μB/f.u. The calculation puts the energy relative to the elements at -0.1405 eV/atom.

a b c (Å): 3.6251 3.6251 18.0743
angles (deg): 90.00 90.00 90.00
With the nearest neighbours (Å) after each atom.
Space group I4/mmm (No. 139)
Asymmetric unit:
Sr 0.0000 0.0000 0.1044 x4  4 Pd 3.18, 4 Cu 3.20
Cu 0.0000 0.5000 0.2500 x4  4 Cu 2.56
Pd 0.0000 0.0000 0.5000 x2  8 Sr 3.18



# 6
VASP calculation (PBE) on crystalline SrCuPd4 at its relaxed geometry.

The calculation puts the volume at 18.3 A^3/atom. The calculation puts the total magnetic moment at 0.00 μB/f.u. The calculation puts the energy relative to the elements at -0.2528 eV/atom.

a b c (Å): 7.7609 4.0430 7.0159
angles (deg): 90.00 90.00 90.00
With the nearest neighbours (Å) after each atom.
Space group Pmma (No. 51)
Asymmetric unit:
Sr 0.2500 0.0000 0.1315 x2  1 Cu 2.88, 6 Pd 3.08-3.16
Cu 0.2500 0.0000 0.7203 x2  8 Pd 2.48-2.71
Pd 0.0000 0.0000 0.5000 x2  2 Cu 2.48
Pd 0.0562 0.5000 0.8014 x4  2 Cu 2.58, 1 Pd 2.81
Pd 0.2500 0.5000 0.4625 x2  2 Cu 2.71, 8 Pd 2.81-3.01



Look up the total magnetic moment of the third one. 0.00 μB/f.u.



Which of these has the lowest energy relative to the elements? number 2



Number 6 is which compound? SrCuPd4